Below is a relaxed LiTaNi2 crystal, with properties calculated at the PBE level.

a b c (Å): 4.2877 4.2877 4.8888
angles (deg): 83.49 83.49 35.97
Sites, in units of the cell vectors:
Ta  0.7500  0.7500  0.7500
Li  0.2500  0.2500  0.2500
Ni  0.5038  0.5038  0.4832
Ni  0.9962  0.9962  0.0168

Properties
Formation energy: 0.1245 eV per atom
Symmetry: C2/m, No. 12
Total magnetic moment: 0.000 Bohr magnetons per cell

***

Below is a relaxed Ba2TePt crystal, with properties calculated at the PBE level.

a b c (Å): 4.0862 4.0819 9.0759
angles (deg): 63.28 90.00 90.00
Sites, in units of the cell vectors:
Pt  0.5000  0.2500  0.2500
Ba  0.0000  0.9877  0.0133
Ba  0.0000  0.5123  0.4867
Te  0.5000  0.7500  0.7500

Properties
Formation energy (no corrections): -4.3 eV/f.u.
Symmetry: P4/mmm, No. 123
Total magnetic moment: 0.000 Bohr magnetons per cell

***

Below is a relaxed ErFe4B4 crystal, with properties calculated at the PBE level.

a b c (Å): 3.8227 6.9135 6.9135
angles (deg): 90.00 90.00 90.00
Last column: magnetic moment on the atom in μB.
Sites, in units of the cell vectors:
B  0.6073  0.1671  0.6984  -0.02
B  0.1073  0.1984  0.3329  -0.02
Fe  0.6104  0.8843  0.6320  0.23
Fe  0.8896  0.3843  0.1320  0.23
Fe  0.3896  0.6320  0.1157  0.23
B  0.8927  0.3329  0.8016  -0.02
B  0.3927  0.3016  0.1671  -0.02
B  0.1073  0.8016  0.6671  -0.02
Er  0.5000  0.5000  0.5000  -0.03
B  0.3927  0.6984  0.8329  -0.02
Fe  0.1104  0.1320  0.6157  0.23
Fe  0.1104  0.8680  0.3843  0.23
Er  0.0000  0.0000  0.0000  -0.03
B  0.6073  0.8329  0.3016  -0.02
Fe  0.3896  0.3680  0.8843  0.23
Fe  0.8896  0.6157  0.8680  0.23
Fe  0.6104  0.1157  0.3680  0.23
B  0.8927  0.6671  0.1984  -0.02

Properties
Formation energy: -0.4883 eV per atom
Symmetry: P4_2/n, No. 86
Polymorph energy (0 for the lowest one): 0.000 eV per atom
Total magnetic moment: 1.686 Bohr magnetons per cell

***

Below is a relaxed AsPb3 crystal, with properties calculated at the PBE level.

a b c (Å): 3.8861 3.7673 8.4678
angles (deg): 90.00 90.00 90.00
Sites, in units of the cell vectors:
Pb  0.0000  0.5000  0.4712
As  0.0000  0.0000  0.9946
Pb  0.5000  0.5000  0.1416
Pb  0.5000  0.0000  0.7260

Properties
Formation energy: 0.1026 eV per atom
Symmetry: Pmm2, No. 25
Polymorph energy (0 for the lowest one): 0.064 eV per atom
Total magnetic moment: 0.000 Bohr magnetons per cell